Entry 1:
Density functional theory data (GGA-PBE) for a relaxed structure of ZrInW.

Unit cell a=7.4559 b=7.2818 c=2.9772 alpha=81.65 beta=75.08 gamma=23.27
Atoms (fractional coordinates):
Zr (0.0000, 0.0000, 0.0000)
In (0.3183, 0.3183, 0.6817)
W (0.6560, 0.6560, 0.3440)

Results
spin magnetization = 0.00 Bohr magnetons per cell
mass density = 10.81 Mg/m³
ΔE to the lowest computed polymorph = 0.09 eV/f.u.
energy relative to the elements = 215 meV/atom

=====

Entry 2:
Density functional theory data (GGA-PBE) for a relaxed structure of ZrInW.

Unit cell a=7.2978 b=7.2978 c=7.2978 alpha=156.94 beta=156.94 gamma=32.84
Atoms (fractional coordinates):
Zr (0.0000, 0.0000, 0.0000)
In (0.6787, 0.6787, 0.0000)
W (0.3372, 0.3372, 0.0000)

Results
spin magnetization = 0.00 Bohr magnetons per cell
mass density = 10.87 Mg/m³
ΔE to the lowest computed polymorph = 0.27 eV/f.u.
energy relative to the elements = 276 meV/atom

=====

Entry 3:
Density functional theory data (GGA-PBE) for a relaxed structure of ZrIn2W2.

Unit cell a=8.3293 b=8.3293 c=2.8891 alpha=90.00 beta=90.00 gamma=90.00
Atoms (fractional coordinates):
Zr (0.0000, 0.0000, 0.0000)
Zr (0.5000, 0.5000, 0.0000)
In (0.1817, 0.3183, 0.0000)
In (0.3183, 0.8183, 0.0000)
In (0.6817, 0.1817, 0.0000)
In (0.8183, 0.6817, 0.0000)
W (0.1108, 0.6108, 0.5000)
W (0.3892, 0.1108, 0.5000)
W (0.6108, 0.8892, 0.5000)
W (0.8892, 0.3892, 0.5000)

Results
spin magnetization = 0.00 Bohr magnetons per cell
mass density = 11.41 Mg/m³
energy relative to the elements = 473 meV/atom